Here is an optimized crystal structure of KSbSe2 from Alexandria. Energies are from PBE.

Lattice parameters (Å, degrees): 4.3485 4.3485 11.0897 90.00 90.00 90.00
Space group I-4m2 (No. 119)
Asymmetric unit:
1 K 0.0000 0.0000 0.0000 [2 per cell]
2 Sb 0.0000 0.5000 0.7500 [2 per cell]
3 Se 0.0000 0.0000 0.5000 [2 per cell]
4 Se 0.0000 0.5000 0.2500 [2 per cell]

Summary:
- N(E_F) (states/eV/f.u.) = 2.5
- size of the total moment (μB per formula unit) = 0.0
- VASP energy (eV per atom) = -3.23

***

Here is an optimized crystal structure of K3SbSe4 from Alexandria. Energies are from PBE.

Lattice parameters (Å, degrees): 11.7677 11.7677 13.6177 90.00 90.00 120.00
Space group R3c (No. 161, hexagonal axes)
Asymmetric unit:
1 K 0.1347 0.3410 0.0000 [18 per cell]
2 Sb 0.0000 0.0000 0.1575 [6 per cell]
3 Se 0.0000 0.0000 0.3420 [6 per cell]
4 Se 0.1966 0.4332 0.2634 [18 per cell]

Summary:
- size of the total moment (μB per formula unit) = 0.0
- VASP energy (eV per atom) = -3.54

***

Here is an optimized crystal structure of K3SbSe from Alexandria. Energies are from PBE.

Lattice parameters (Å, degrees): 16.4938 4.5181 10.7349 90.00 98.09 90.00
Space group C2/m (No. 12)
Asymmetric unit:
1 K 0.0530 0.0000 0.1325 [4 per cell]
2 K 0.0927 0.5000 0.6287 [4 per cell]
3 K 0.2357 0.0000 0.8517 [4 per cell]
4 Sb 0.2013 0.0000 0.4419 [4 per cell]
5 Se 0.1068 0.5000 0.9188 [4 per cell]

Summary:
- N(E_F) (states/eV/f.u.) = 1.5
- size of the total moment (μB per formula unit) = 0.0
- VASP energy (eV per atom) = -2.89
- excess energy over the best structure of this formula in the dataset (eV/atom) = 0.000

***

Here is an optimized crystal structure of K3SbSe4 from Alexandria. Energies are from PBE.

Lattice parameters (Å, degrees): 9.6498 11.3219 10.4672 90.00 90.00 90.00
Space group Pnma (No. 62)
Asymmetric unit:
1 K 0.0866 0.0434 0.2040 [8 per cell]
2 K 0.1350 0.7500 0.4298 [4 per cell]
3 Sb 0.2159 0.7500 0.9835 [4 per cell]
4 Se 0.0005 0.2500 0.8806 [4 per cell]
5 Se 0.1431 0.0664 0.5273 [8 per cell]
6 Se 0.1527 0.7500 0.7502 [4 per cell]

Summary:
- size of the total moment (μB per formula unit) = 0.0
- VASP energy (eV per atom) = -3.53

***

Here is an optimized crystal structure of K3SbSe3 from Alexandria. Energies are from PBE.

Lattice parameters (Å, degrees): 9.9554 9.9554 9.9554 90.00 90.00 90.00
Space group P2_13 (No. 198)
Asymmetric unit:
1 K 0.0774 0.0774 0.0774 [4 per cell]
2 K 0.1821 0.3179 0.6821 [4 per cell]
3 K 0.1876 0.6876 0.8124 [4 per cell]
4 Sb 0.0285 0.9715 0.4715 [4 per cell]
5 Se 0.0030 0.2204 0.3962 [12 per cell]

Summary:
- N(E_F) (states/eV/f.u.) = 0.0
- size of the total moment (μB per formula unit) = 0.0
- VASP energy (eV per atom) = -3.52

***

Here is an optimized crystal structure of KSbSe2 from Alexandria. Energies are from PBE.

Lattice parameters (Å, degrees): 4.2577 4.2577 7.3186 90.00 90.00 90.00
Space group P4mm (No. 99)
Asymmetric unit:
1 K 0.0000 0.0000 0.0000 [1 per cell]
2 Sb 0.5000 0.5000 0.5269 [1 per cell]
3 Se 0.0000 0.0000 0.4642 [1 per cell]
4 Se 0.5000 0.5000 0.8657 [1 per cell]

Summary:
- N(E_F) (states/eV/f.u.) = 0.2
- size of the total moment (μB per formula unit) = 0.0
- VASP energy (eV per atom) = -3.66

***

Here is an optimized crystal structure of K5SbSe6 from Alexandria. Energies are from PBE.

Lattice parameters (Å, degrees): 8.1735 13.9599 7.9273 90.00 111.24 90.00
Space group C2/m (No. 12)
Asymmetric unit:
1 K 0.0000 0.0000 0.0000 [2 per cell]
2 K 0.0000 0.1660 0.5000 [4 per cell]
3 K 0.0000 0.3256 0.0000 [4 per cell]
4 Sb 0.0000 0.5000 0.5000 [2 per cell]
5 Se 0.1944 0.5000 0.2947 [4 per cell]
6 Se 0.2065 0.3627 0.7115 [8 per cell]

Summary:
- N(E_F) (states/eV/f.u.) = 9.5
- size of the total moment (μB per formula unit) = 2.2
- VASP energy (eV per atom) = -3.23

***

Here is an optimized crystal structure of KSbSe3 from Alexandria. Energies are from PBE.

Lattice parameters (Å, degrees): 5.3525 6.1501 9.7637 90.00 90.03 90.00
Space group P2_1 (No. 4)
Asymmetric unit:
1 K 0.2422 0.0000 0.1869 [2 per cell]
2 Sb 0.2614 0.0134 0.6076 [2 per cell]
3 Se 0.0012 0.5021 0.1509 [2 per cell]
4 Se 0.2583 0.4361 0.5708 [2 per cell]
5 Se 0.4896 0.4983 0.1514 [2 per cell]

Summary:
- N(E_F) (states/eV/f.u.) = 3.8
- size of the total moment (μB per formula unit) = 0.0
- VASP energy (eV per atom) = -3.63
- excess energy over the best structure of this formula in the dataset (eV/atom) = 0.000

***

Here is an optimized crystal structure of KSbSe2 from Alexandria. Energies are from PBE.

Lattice parameters (Å, degrees): 3.2849 4.1222 8.3382 90.00 90.07 90.00
Space group P2/m (No. 10)
Asymmetric unit:
1 K 0.0000 0.0000 0.0000 [1 per cell]
2 Sb 0.5000 0.0000 0.5000 [1 per cell]
3 Se 0.4982 0.5000 0.7419 [2 per cell]

Summary:
- N(E_F) (states/eV/f.u.) = 1.4
- size of the total moment (μB per formula unit) = 0.0
- VASP energy (eV per atom) = -3.53

***

Here is an optimized crystal structure of KSbSe2 from Alexandria. Energies are from PBE.

Lattice parameters (Å, degrees): 5.2033 5.2033 3.7666 90.00 90.00 90.00
Space group P4/mmm (No. 123)
Asymmetric unit:
1 K 0.0000 0.0000 0.0000 [1 per cell]
2 Sb 0.5000 0.5000 0.0000 [1 per cell]
3 Se 0.0000 0.5000 0.5000 [2 per cell]

Summary:
- N(E_F) (states/eV/f.u.) = 1.8
- size of the total moment (μB per formula unit) = 0.0
- VASP energy (eV per atom) = -3.36

***

Here is an optimized crystal structure of KSb4Se8 from Alexandria. Energies are from PBE.

Lattice parameters (Å, degrees): 11.8863 11.8863 11.8863 90.00 90.00 90.00
Space group F-43m (No. 216)
Asymmetric unit:
1 K 0.0000 0.0000 0.0000 [4 per cell]
2 Sb 0.1206 0.1206 0.6206 [16 per cell]
3 Se 0.1207 0.1207 0.3793 [16 per cell]
4 Se 0.1431 0.1431 0.8569 [16 per cell]

Summary:
- N(E_F) (states/eV/f.u.) = 10.0
- size of the total moment (μB per formula unit) = 0.0
- VASP energy (eV per atom) = -3.71

***

Here is an optimized crystal structure of KSiSbSe4 from Alexandria. Energies are from PBE.

Lattice parameters (Å, degrees): 6.8467 7.0784 9.1877 90.00 107.83 90.00
Space group P2_1/m (No. 11)
Asymmetric unit:
1 K 0.2378 0.2500 0.4409 [2 per cell]
2 Si 0.2681 0.7500 0.1747 [2 per cell]
3 Sb 0.2661 0.2500 0.9797 [2 per cell]
4 Se 0.0627 0.7500 0.3245 [2 per cell]
5 Se 0.0675 0.7500 0.9224 [2 per cell]
6 Se 0.4892 0.0028 0.2176 [4 per cell]

Summary:
- size of the total moment (μB per formula unit) = 0.0
- VASP energy (eV per atom) = -4.11

***

Here is an optimized crystal structure of K2SmSbSe4 from Alexandria. Energies are from PBE.

Lattice parameters (Å, degrees): 7.4321 4.2718 8.0656 90.00 107.70 90.00
Space group P2/m (No. 10)
Asymmetric unit:
1 K 0.0000 0.0000 0.0000 [1 per cell]
2 K 0.5000 0.5000 0.0000 [1 per cell]
3 Sm 0.0000 0.5000 0.5000 [1 per cell]
4 Sb 0.5000 0.0000 0.5000 [1 per cell]
5 Se 0.2387 0.0000 0.7075 [2 per cell]
6 Se 0.2666 0.5000 0.2933 [2 per cell]

Summary:
- size of the total moment (μB per formula unit) = 0.0
- VASP energy (eV per atom) = -4.35

***

Here is an optimized crystal structure of K3SmSb2Se6 from Alexandria. Energies are from PBE.

Lattice parameters (Å, degrees): 7.3955 12.8085 8.0793 90.00 107.76 90.00
Space group C2/m (No. 12)
Asymmetric unit:
1 K 0.0000 0.0000 0.0000 [2 per cell]
2 K 0.0000 0.3323 0.0000 [4 per cell]
3 Sm 0.0000 0.5000 0.5000 [2 per cell]
4 Sb 0.0000 0.1666 0.5000 [4 per cell]
5 Se 0.2324 0.0000 0.7071 [4 per cell]
6 Se 0.2371 0.3317 0.7066 [8 per cell]

Summary:
- size of the total moment (μB per formula unit) = 0.0
- VASP energy (eV per atom) = -4.15

***

Here is an optimized crystal structure of K4Sm3SbSe8 from Alexandria. Energies are from PBE.

Lattice parameters (Å, degrees): 8.5865 8.5865 23.0406 90.00 90.00 120.00
Space group R-3m (No. 166, hexagonal axes)
Asymmetric unit:
1 K 0.0000 0.0000 0.0000 [3 per cell]
2 K 0.0000 0.5000 0.0000 [9 per cell]
3 Sm 0.0000 0.5000 0.5000 [9 per cell]
4 Sb 0.0000 0.0000 0.5000 [3 per cell]
5 Se 0.0000 0.0000 0.2365 [6 per cell]
6 Se 0.0031 0.5015 0.2358 [18 per cell]

Summary:
- N(E_F) (states/eV/f.u.) = 0.0
- size of the total moment (μB per formula unit) = 0.0
- VASP energy (eV per atom) = -4.65

***

Here is an optimized crystal structure of K3Sm3SbSe8 from Alexandria. Energies are from PBE.

Lattice parameters (Å, degrees): 8.4714 8.4714 23.5062 90.00 90.00 120.00
Space group R-3m (No. 166, hexagonal axes)
Asymmetric unit:
1 K 0.0000 0.5000 0.0000 [9 per cell]
2 Sm 0.0000 0.5000 0.5000 [9 per cell]
3 Sb 0.0000 0.0000 0.5000 [3 per cell]
4 Se 0.0000 0.0000 0.2360 [6 per cell]
5 Se 0.0135 0.5067 0.2336 [18 per cell]

Summary:
- N(E_F) (states/eV/f.u.) = 2.2
- size of the total moment (μB per formula unit) = 0.0
- VASP energy (eV per atom) = -4.72

***

Here is an optimized crystal structure of K2SnSb2Se6 from Alexandria. Energies are from PBE.

Lattice parameters (Å, degrees): 7.1341 12.2994 8.3586 90.00 107.11 90.00
Space group C2/m (No. 12)
Asymmetric unit:
1 K 0.0000 0.1711 0.0000 [4 per cell]
2 Sn 0.0000 0.0000 0.5000 [2 per cell]
3 Sb 0.0000 0.3298 0.5000 [4 per cell]
4 Se 0.2287 0.1600 0.7004 [8 per cell]
5 Se 0.2402 0.0000 0.3012 [4 per cell]

Summary:
- size of the total moment (μB per formula unit) = 0.0
- VASP energy (eV per atom) = -3.82

***

Here is an optimized crystal structure of KSnSbSe3 from Alexandria. Energies are from PBE.

Lattice parameters (Å, degrees): 8.0405 4.1784 12.0406 90.00 101.58 90.00
Space group P2_1/m (No. 11)
Asymmetric unit:
1 K 0.0487 0.2500 0.1757 [2 per cell]
2 Sn 0.3811 0.2500 0.5630 [2 per cell]
3 Sb 0.4541 0.7500 0.8535 [2 per cell]
4 Se 0.2069 0.7500 0.6392 [2 per cell]
5 Se 0.2712 0.2500 0.9486 [2 per cell]
6 Se 0.3701 0.7500 0.2467 [2 per cell]

Summary:
- size of the total moment (μB per formula unit) = 0.0
- VASP energy (eV per atom) = -3.88

***

Here is an optimized crystal structure of K2SnSbSe4 from Alexandria. Energies are from PBE.

Lattice parameters (Å, degrees): 8.1717 8.1717 7.3295 90.00 90.00 90.00
Space group I-42m (No. 121)
Asymmetric unit:
1 K 0.0000 0.5000 0.0000 [4 per cell]
2 Sn 0.0000 0.0000 0.0000 [2 per cell]
3 Sb 0.0000 0.0000 0.5000 [2 per cell]
4 Se 0.1820 0.1820 0.7538 [8 per cell]

Summary:
- N(E_F) (states/eV/f.u.) = 3.8
- size of the total moment (μB per formula unit) = 0.0
- VASP energy (eV per atom) = -3.65

***

Here is an optimized crystal structure of KSn2SbSe6 from Alexandria. Energies are from PBE.

Lattice parameters (Å, degrees): 15.3849 12.0210 7.7128 90.00 116.48 90.00
Space group C2/c (No. 15)
Asymmetric unit:
1 K 0.0000 0.2064 0.2500 [4 per cell]
2 Sn 0.2318 0.0972 0.0805 [8 per cell]
3 Sb 0.0000 0.2856 0.7500 [4 per cell]
4 Se 0.0949 0.4280 0.6310 [8 per cell]
5 Se 0.1271 0.0179 0.7331 [8 per cell]
6 Se 0.1672 0.2910 0.1216 [8 per cell]

Summary:
- size of the total moment (μB per formula unit) = 0.0
- VASP energy (eV per atom) = -3.86